First-principles (PBE) data for an optimized crystal structure of Te2AsPt, as listed in the Alexandria database.

Output
- Formation energy from raw total energies: 0.46 eV/atom
- V: 21.919 Å³/atom

abc: 4.987 4.987 4.987
angles: 60.00 60.00 60.00
Element x y z (fractional)
As: 0.500 0.500 0.500
Te: 0.000 0.000 0.000
Te: 0.750 0.750 0.750
Pt: 0.250 0.250 0.250


First-principles (PBE) data for an optimized crystal structure of TeAsPt, as listed in the Alexandria database.

Output
- Formation energy from raw total energies: -0.31 eV/atom
- V: 22.428 Å³/atom

abc: 3.932 3.932 5.026
angles: 90.00 90.00 120.00
Element x y z (fractional)
As: 0.000 0.000 0.081
Te: 0.333 0.667 0.606
Pt: 0.667 0.333 0.313


First-principles (PBE) data for an optimized crystal structure of TeAsPt2, as listed in the Alexandria database.

Output
- Formation energy from raw total energies: 0.14 eV/atom
- V: 18.587 Å³/atom
- Energy relative to the lowest polymorph listed for this composition: 0.437 eV/atom

abc: 5.364 5.364 5.364
angles: 135.65 135.65 64.51
Element x y z (fractional)
As: 0.750 0.250 0.500
Te: 0.500 0.500 0.000
Pt: 0.000 0.000 0.000
Pt: 0.250 0.750 0.500


First-principles (PBE) data for an optimized crystal structure of TeAsPt, as listed in the Alexandria database.

Output
- Formation energy from raw total energies: 0.06 eV/atom
- V: 22.151 Å³/atom

abc: 7.034 7.033 3.156
angles: 77.05 77.02 25.93
Element x y z (fractional)
As: 0.959 0.959 0.041
Te: 0.683 0.683 0.317
Pt: 0.358 0.358 0.642


First-principles (PBE) data for an optimized crystal structure of TeAsPt2, as listed in the Alexandria database.

Output
- Formation energy from raw total energies: -0.12 eV/atom
- V: 20.460 Å³/atom
- Energy relative to the lowest polymorph listed for this composition: 0.175 eV/atom

abc: 3.587 3.587 6.360
angles: 90.00 90.00 90.00
Element x y z (fractional)
As: 0.500 0.500 0.850
Te: 0.000 0.000 0.416
Pt: 0.000 0.000 0.989
Pt: 0.500 0.500 0.245


First-principles (PBE) data for an optimized crystal structure of Te2AsPt, as listed in the Alexandria database.

Output
- Formation energy from raw total energies: 0.32 eV/atom
- V: 21.885 Å³/atom

abc: 3.444 3.444 7.379
angles: 90.00 90.00 90.00
Element x y z (fractional)
As: 0.500 0.500 0.250
Te: 0.000 0.000 0.984
Te: 0.000 0.000 0.516
Pt: 0.500 0.500 0.750


First-principles (PBE) data for an optimized crystal structure of Te2AsPt, as listed in the Alexandria database.

Output
- Formation energy from raw total energies: 0.06 eV/atom
- V: 23.821 Å³/atom

abc: 6.408 6.408 3.015
angles: 61.31 61.31 76.75
Element x y z (fractional)
As: 0.500 0.000 0.500
Te: 0.000 0.000 0.000
Te: 0.500 0.500 0.000
Pt: 0.000 0.500 0.500


First-principles (PBE) data for an optimized crystal structure of TeAsPt2, as listed in the Alexandria database.

Output
- Formation energy from raw total energies: 0.05 eV/atom
- V: 18.583 Å³/atom
- Energy relative to the lowest polymorph listed for this composition: 0.341 eV/atom

abc: 3.436 3.243 7.396
angles: 64.42 90.00 90.00
Element x y z (fractional)
As: 0.500 0.750 0.750
Te: 0.500 0.250 0.250
Pt: 0.000 0.031 0.971
Pt: 0.000 0.469 0.529


First-principles (PBE) data for an optimized crystal structure of TeAsPt, as listed in the Alexandria database.

Output
- Formation energy from raw total energies: -0.12 eV/atom
- V: 22.653 Å³/atom

abc: 4.581 4.581 4.581
angles: 60.00 60.00 60.00
Element x y z (fractional)
As: 0.500 0.500 0.500
Te: 0.000 0.000 0.000
Pt: 0.750 0.750 0.750


First-principles (PBE) data for an optimized crystal structure of Te4AsPt, as listed in the Alexandria database.

Output
- Formation energy from raw total energies: -0.18 eV/atom
- V: 26.920 Å³/atom
- Energy relative to the lowest polymorph listed for this composition: 0.000 eV/atom

abc: 4.153 7.110 6.832
angles: 121.09 107.70 90.00
Element x y z (fractional)
Te: 0.632 0.281 0.264
Te: 0.856 0.174 0.711
Te: 0.368 0.719 0.736
Te: 0.144 0.826 0.289
As: 0.500 0.500 0.000
Pt: 0.000 0.000 0.000


First-principles (PBE) data for an optimized crystal structure of TeAsPt2, as listed in the Alexandria database.

Output
- Formation energy from raw total energies: -0.29 eV/atom
- V: 21.628 Å³/atom
- Energy relative to the lowest polymorph listed for this composition: 0.000 eV/atom

abc: 6.979 6.979 6.979
angles: 32.35 32.35 32.35
Element x y z (fractional)
As: 0.719 0.719 0.719
Te: 0.521 0.521 0.521
Pt: 0.004 0.004 0.004
Pt: 0.256 0.256 0.256


First-principles (PBE) data for an optimized crystal structure of Te2AsPt, as listed in the Alexandria database.

Output
- Formation energy from raw total energies: 0.35 eV/atom
- V: 22.745 Å³/atom

abc: 3.146 3.146 9.719
angles: 90.00 90.00 108.96
Element x y z (fractional)
As: 0.500 0.500 0.250
Te: 0.000 0.000 0.969
Te: 0.000 0.000 0.531
Pt: 0.500 0.500 0.750


First-principles (PBE) data for an optimized crystal structure of Te2AsPt, as listed in the Alexandria database.

Output
- Formation energy from raw total energies: 0.09 eV/atom
- V: 29.052 Å³/atom

abc: 8.704 8.704 8.704
angles: 26.56 26.56 26.56
Element x y z (fractional)
As: 0.000 0.000 0.000
Te: 0.890 0.890 0.890
Te: 0.110 0.110 0.110
Pt: 0.500 0.500 0.500


First-principles (PBE) data for an optimized crystal structure of TeAsPt4, as listed in the Alexandria database.

Output
- Formation energy from raw total energies: 0.27 eV/atom
- V: 18.460 Å³/atom

abc: 5.391 5.391 5.391
angles: 60.00 60.00 60.00
Element x y z (fractional)
Te: 0.750 0.750 0.750
As: 0.000 0.000 0.000
Pt: 0.876 0.375 0.375
Pt: 0.375 0.375 0.876
Pt: 0.375 0.876 0.375
Pt: 0.375 0.375 0.375


First-principles (PBE) data for an optimized crystal structure of Te2AsPt, as listed in the Alexandria database.

Output
- Formation energy from raw total energies: 0.42 eV/atom
- V: 22.147 Å³/atom

abc: 3.261 5.503 4.937
angles: 90.00 90.00 90.00
Element x y z (fractional)
As: 0.500 0.000 0.500
Te: 0.000 0.000 0.000
Te: 0.500 0.500 0.000
Pt: 0.000 0.500 0.500


First-principles (PBE) data for an optimized crystal structure of TeAsPt2, as listed in the Alexandria database.

Output
- Formation energy from raw total energies: 0.06 eV/atom
- V: 18.528 Å³/atom
- Energy relative to the lowest polymorph listed for this composition: 0.351 eV/atom

abc: 4.715 4.715 4.715
angles: 60.00 60.00 60.00
Element x y z (fractional)
As: 0.000 0.000 0.000
Te: 0.500 0.500 0.500
Pt: 0.250 0.250 0.250
Pt: 0.750 0.750 0.750


First-principles (PBE) data for an optimized crystal structure of Te2AsPt, as listed in the Alexandria database.

Output
- Formation energy from raw total energies: -0.17 eV/atom
- V: 23.517 Å³/atom

abc: 3.994 5.058 5.058
angles: 67.02 90.00 90.00
Element x y z (fractional)
As: 0.000 0.548 0.548
Te: 0.000 0.957 0.957
Te: 0.500 0.257 0.257
Pt: 0.500 0.738 0.738


First-principles (PBE) data for an optimized crystal structure of Te2AsPt, as listed in the Alexandria database.

Output
- Formation energy from raw total energies: -0.11 eV/atom
- V: 23.902 Å³/atom

abc: 7.156 7.156 7.156
angles: 32.79 32.79 32.79
Element x y z (fractional)
As: 0.482 0.482 0.482
Te: 0.019 0.019 0.019
Te: 0.244 0.244 0.244
Pt: 0.756 0.756 0.756


First-principles (PBE) data for an optimized crystal structure of Te2AsPt, as listed in the Alexandria database.

Output
- Formation energy from raw total energies: 0.07 eV/atom
- V: 31.078 Å³/atom

abc: 6.321 6.321 7.661
angles: 65.64 65.64 90.00
Element x y z (fractional)
As: 0.500 0.500 0.000
As: 0.250 0.750 0.500
Te: 0.657 0.125 0.250
Te: 0.093 0.625 0.250
Te: 0.375 0.343 0.750
Te: 0.875 0.907 0.750
Pt: 0.000 0.000 0.000
Pt: 0.750 0.250 0.500


First-principles (PBE) data for an optimized crystal structure of Te2AsPt, as listed in the Alexandria database.

Output
- Formation energy from raw total energies: -0.02 eV/atom
- V: 29.797 Å³/atom

abc: 5.790 5.790 5.974
angles: 72.29 72.29 38.95
Element x y z (fractional)
As: 0.626 0.626 0.277
Te: 0.891 0.891 0.105
Te: 0.737 0.737 0.718
Pt: 0.247 0.247 0.399


First-principles (PBE) data for an optimized crystal structure of Te2AsPt, as listed in the Alexandria database.

Output
- Formation energy from raw total energies: -0.10 eV/atom
- V: 23.560 Å³/atom

abc: 4.065 4.065 7.001
angles: 72.93 72.93 59.99
Element x y z (fractional)
As: 0.750 0.750 0.750
Te: 0.992 0.992 0.023
Te: 0.508 0.508 0.477
Pt: 0.250 0.250 0.250


First-principles (PBE) data for an optimized crystal structure of TeAsPt, as listed in the Alexandria database.

Output
- Formation energy from raw total energies: -0.35 eV/atom
- V: 22.796 Å³/atom

abc: 6.363 6.658 6.659
angles: 104.13 90.00 90.00
Element x y z (fractional)
Te: 0.123 0.353 0.897
Te: 0.124 0.853 0.396
Te: 0.624 0.147 0.604
Te: 0.623 0.647 0.103
As: 0.874 0.641 0.609
As: 0.873 0.141 0.109
As: 0.373 0.859 0.891
As: 0.374 0.359 0.391
Pt: 0.005 0.264 0.486
Pt: 0.505 0.736 0.514
Pt: 0.505 0.236 0.014
Pt: 0.005 0.764 0.986


First-principles (PBE) data for an optimized crystal structure of TeAsPt, as listed in the Alexandria database.

Output
- Formation energy from raw total energies: -0.36 eV/atom
- V: 22.839 Å³/atom

abc: 6.370 6.643 6.669
angles: 103.78 90.00 90.00
Element x y z (fractional)
Te: 0.625 0.348 0.150
Te: 0.375 0.652 0.850
Te: 0.875 0.848 0.150
Te: 0.125 0.152 0.850
As: 0.626 0.865 0.635
As: 0.374 0.135 0.365
As: 0.126 0.635 0.365
As: 0.874 0.365 0.635
Pt: 0.016 0.252 0.267
Pt: 0.484 0.752 0.267
Pt: 0.984 0.748 0.733
Pt: 0.516 0.248 0.733


First-principles (PBE) data for an optimized crystal structure of Te2AsPt, as listed in the Alexandria database.

Output
- Formation energy from raw total energies: 0.01 eV/atom
- V: 24.164 Å³/atom

abc: 4.006 2.988 8.619
angles: 69.53 90.00 90.00
Element x y z (fractional)
As: 0.500 0.250 0.250
Te: 0.000 0.525 0.975
Te: 0.000 0.975 0.525
Pt: 0.500 0.750 0.750


First-principles (PBE) data for an optimized crystal structure of TeAsPt2, as listed in the Alexandria database.

Output
- Formation energy from raw total energies: 0.06 eV/atom
- V: 18.539 Å³/atom
- Energy relative to the lowest polymorph listed for this composition: 0.356 eV/atom

abc: 4.599 4.599 3.534
angles: 89.96 89.96 97.16
Element x y z (fractional)
As: 0.000 0.500 0.500
Te: 0.500 0.000 0.500
Pt: 0.000 0.000 0.000
Pt: 0.500 0.500 0.000


First-principles (PBE) data for an optimized crystal structure of Te2AsPt, as listed in the Alexandria database.

Output
- Formation energy from raw total energies: 0.37 eV/atom
- V: 30.276 Å³/atom

abc: 8.615 8.615 8.615
angles: 154.18 154.18 36.83
Element x y z (fractional)
As: 0.500 0.500 0.000
Te: 0.000 0.000 0.000
Te: 0.250 0.750 0.500
Pt: 0.750 0.250 0.500


First-principles (PBE) data for an optimized crystal structure of Te2AsPt, as listed in the Alexandria database.

Output
- Formation energy from raw total energies: 0.06 eV/atom
- V: 25.479 Å³/atom

abc: 3.106 3.106 10.566
angles: 90.00 90.00 89.97
Element x y z (fractional)
As: 0.000 0.000 0.575
Te: 0.000 0.000 0.927
Te: 0.500 0.500 0.287
Pt: 0.500 0.500 0.711


First-principles (PBE) data for an optimized crystal structure of TeAsPt2, as listed in the Alexandria database.

Output
- Formation energy from raw total energies: -0.22 eV/atom
- V: 21.170 Å³/atom
- Energy relative to the lowest polymorph listed for this composition: 0.075 eV/atom

abc: 4.093 4.678 4.798
angles: 67.18 90.00 90.00
Element x y z (fractional)
As: 0.500 0.815 0.824
Te: 0.000 0.442 0.441
Pt: 0.000 0.009 0.003
Pt: 0.500 0.233 0.233


First-principles (PBE) data for an optimized crystal structure of TeAsPt2, as listed in the Alexandria database.

Output
- Formation energy from raw total energies: -0.18 eV/atom
- V: 22.336 Å³/atom
- Energy relative to the lowest polymorph listed for this composition: 0.117 eV/atom

abc: 4.896 4.896 8.220
angles: 72.67 72.67 90.00
Element x y z (fractional)
As: 0.500 0.500 0.000
As: 0.250 0.750 0.500
Te: 0.000 0.000 0.000
Te: 0.750 0.250 0.500
Pt: 0.562 0.125 0.250
Pt: 0.188 0.625 0.250
Pt: 0.375 0.438 0.750
Pt: 0.875 0.812 0.750